First-principles (PBE-GGA) data for La3Pa5O12 after structural relaxation, as listed in Alexandria.

Results
Calculated volume = 2722.0 Å³ per cell
Total moment = 0.00 μB/f.u.
Final energy = -9.206 eV/atom
E_form (uncorrected) = -3118 meV per atom

abc: 13.963 13.963 13.963
angles: 90.00 90.00 90.00
Space group Ia-3d (No. 230)
Unique sites:
1 La 0.000 0.250 0.125 (multiplicity 24)
2 Pa 0.000 0.000 0.000 (multiplicity 16)
3 Pa 0.000 0.250 0.375 (multiplicity 24)
4 O 0.024 0.062 0.649 (multiplicity 96)